Record 1
Compound: PrZnH6Ir2
Source: the Alexandria database
Functional: GGA-PBE
Structure: optimized geometry

The structure in POSCAR format:
```
PrZnH6Ir2
1.0
-0.961 -4.384 0.778
2.867 -3.246 -1.413
3.247 -2.281 4.487
Pr Zn H Ir
1 1 6 2
Direct
0.000 0.000 0.000
0.500 0.500 0.500
0.057 0.564 0.814
0.564 0.057 0.814
0.436 0.436 0.186
0.943 0.436 0.186
0.436 0.943 0.186
0.564 0.564 0.814
0.792 0.792 0.625
0.208 0.208 0.375
```

Calculated total energy: -0.3461 Ry/atom
Magnetization: 0.00 μB/f.u.
Mass density: 10.2 g/cm3

Record 2
Compound: Hf7Ga2N2
Source: the Alexandria database
Functional: GGA-PBE
Structure: optimized geometry

The structure in POSCAR format:
```
Hf7Ga2N2
1.0
6.095 -0.166 -1.098
-0.175 5.627 0.169
-1.475 0.162 6.015
Hf Ga N
7 2 2
Direct
0.929 0.236 0.515
0.515 0.764 0.929
0.071 0.764 0.485
0.485 0.236 0.071
0.000 0.000 0.000
0.569 0.783 0.431
0.431 0.217 0.569
0.821 0.500 0.821
0.179 0.500 0.179
0.773 0.976 0.227
0.227 0.024 0.773
```

Magnetization: 0.00 μB/f.u.
Formation energy (no corrections): -0.60 eV per atom
Mass density: 11.9 g/cm3

Record 3
Compound: PmSm2Y4
Source: the Alexandria database
Functional: GGA-PBE
Structure: optimized geometry

The structure in POSCAR format:
```
PmSm2Y4
1.0
-0.683 0.090 -3.508
-8.259 -2.750 1.539
2.059 8.228 1.630
Pm Sm Y
1 2 4
Direct
0.000 0.000 0.000
0.069 0.429 0.138
0.931 0.571 0.862
0.294 0.707 0.588
0.356 0.159 0.711
0.706 0.293 0.412
0.644 0.841 0.289
```

DFT formation energy: 0.0326 eV per atom
Magnetization: 0.00 μB/f.u.
Mass density: 5.7 g/cm3

Record 4
Compound: CoAgIN2
Source: the Alexandria database
Functional: GGA-PBE
Structure: optimized geometry

The structure in POSCAR format:
```
CoAgIN2
1.0
3.915 0.000 0.000
0.000 3.915 0.000
0.000 0.000 7.430
I Co Ag N
1 1 1 2
Direct
0.000 0.000 0.500
0.500 0.500 0.500
0.000 0.000 0.000
0.000 0.500 0.000
0.500 0.000 0.000
```

Magnetization: 2.13 μB/f.u.
Formation energy (no corrections): 2.14 eV per atom
Mass density: 4.7 g/cm3

Record 5
Compound: Er2Nb2C3
Source: the Alexandria database
Functional: GGA-PBE
Structure: optimized geometry

The structure in POSCAR format:
```
Er2Nb2C3
1.0
-3.326 0.662 -0.132
-1.049 -5.521 -1.269
1.533 0.165 5.834
Er Nb C
2 2 3
Direct
0.612 0.841 0.225
0.388 0.159 0.775
0.853 0.662 0.706
0.147 0.338 0.294
0.000 0.000 0.000
0.746 0.266 0.492
0.254 0.734 0.508
```

DFT formation energy: -0.4691 eV per atom
Magnetization: 0.00 μB/f.u.
Mass density: 8.5 g/cm3

Record 6
Compound: LaCdGa
Source: the Alexandria database
Functional: GGA-PBE
Structure: optimized geometry

The structure in POSCAR format:
```
LaCdGa
1.0
5.880 0.011 0.004
-0.059 5.882 0.017
-3.052 -2.811 4.176
La Ga Cd
2 2 2
Direct
0.641 0.528 0.946
0.918 0.307 0.445
0.279 0.418 0.196
0.279 0.918 0.696
0.779 0.918 0.696
0.279 0.918 0.196
```

DFT formation energy: -0.4513 eV per atom
Magnetization: 0.00 μB/f.u.
Mass density: 7.4 g/cm3